## PmPrZn2 (PBEsol)

Data for crystalline PmPrZn2 at its relaxed geometry.

Total DFT energy (no corrections)   -3.671 eV/atom
Crystal system   cubic
Space-group type   No. 225
Energy of formation from the pure elements   -0.299 eV per atom
Magnetization   0.0 μB per formula unit

Lattice parameters (Å, degrees): 5.1102 5.1102 5.1102 60.00 60.00 60.00
With the nearest neighbours (Å) after each atom.
Fractional coordinates of all 4 atoms:
Pm (0.0000, 0.0000, 0.0000)  8 Zn 3.13
Pr (0.5000, 0.5000, 0.5000)  8 Zn 3.13
Zn (0.2500, 0.2500, 0.2500)  4 Pr 3.13, 4 Pm 3.13
Zn (0.7500, 0.7500, 0.7500)  4 Pr 3.13, 4 Pm 3.13



## SrPmPt2 (PBEsol)

Data for crystalline SrPmPt2 at its relaxed geometry.

Total DFT energy (no corrections)   -6.056 eV/atom
Crystal system   cubic
Space-group type   No. 225
Energy of formation from the pure elements   -0.830 eV per atom
Magnetization   0.0 μB per formula unit

Lattice parameters (Å, degrees): 5.0294 5.0294 5.0294 60.00 60.00 60.00
With the nearest neighbours (Å) after each atom.
Fractional coordinates of all 4 atoms:
Sr (0.0000, 0.0000, 0.0000)  8 Pt 3.08
Pm (0.5000, 0.5000, 0.5000)  8 Pt 3.08
Pt (0.2500, 0.2500, 0.2500)  4 Pm 3.08, 4 Sr 3.08
Pt (0.7500, 0.7500, 0.7500)  4 Sr 3.08, 4 Pm 3.08



## Pm2ZnPt (PBEsol)

Data for crystalline Pm2ZnPt at its relaxed geometry.

Total DFT energy (no corrections)   -5.360 eV/atom
Crystal system   cubic
Space-group type   No. 225
Energy of formation from the pure elements   -0.655 eV per atom
Magnetization   0.0 μB per formula unit

Lattice parameters (Å, degrees): 5.0287 5.0287 5.0287 60.00 60.00 60.00
With the nearest neighbours (Å) after each atom.
Fractional coordinates of all 4 atoms:
Pm (0.2500, 0.2500, 0.2500)  4 Pt 3.08, 4 Zn 3.08
Pm (0.7500, 0.7500, 0.7500)  4 Pt 3.08, 4 Zn 3.08
Zn (0.0000, 0.0000, 0.0000)  8 Pm 3.08
Pt (0.5000, 0.5000, 0.5000)  8 Pm 3.08



## PmRh3 (PBEsol)

Data for crystalline PmRh3 at its relaxed geometry.

Total DFT energy (no corrections)   -7.690 eV/atom
Crystal system   hexagonal
Space-group type   No. 194
Energy of formation from the pure elements   -0.302 eV per atom
Magnetization   0.0 μB per formula unit

Lattice parameters (Å, degrees): 5.8095 5.8095 4.5459 90.00 90.00 120.00
With the nearest neighbours (Å) after each atom.
Fractional coordinates of all 8 atoms:
Pm (0.3333, 0.6667, 0.2500)  12 Rh 2.90-2.91
Pm (0.6667, 0.3333, 0.7500)  12 Rh 2.90-2.91
Rh (0.1545, 0.3090, 0.7500)  6 Rh 2.69-2.75, 4 Pm 2.90-2.91
Rh (0.1545, 0.8455, 0.7500)  6 Rh 2.69-2.75, 4 Pm 2.90-2.91
Rh (0.3090, 0.1545, 0.2500)  6 Rh 2.69-2.75, 4 Pm 2.90-2.91
Rh (0.6911, 0.8455, 0.7500)  6 Rh 2.69-2.75, 4 Pm 2.90-2.91
Rh (0.8455, 0.1545, 0.2500)  6 Rh 2.69-2.75, 4 Pm 2.90-2.91
Rh (0.8455, 0.6911, 0.2500)  6 Rh 2.69-2.75, 4 Pm 2.90-2.91



## PmRh3 (PBEsol)

Data for crystalline PmRh3 at its relaxed geometry.

Total DFT energy (no corrections)   -7.710 eV/atom
Crystal system   cubic
Space-group type   No. 221
Energy of formation from the pure elements   -0.322 eV per atom
Magnetization   0.0 μB per formula unit

Lattice parameters (Å, degrees): 4.0295 4.0295 4.0295 90.00 90.00 90.00
With the nearest neighbours (Å) after each atom.
Fractional coordinates of all 4 atoms:
Pm (0.0000, 0.0000, 0.0000)  12 Rh 2.85
Rh (0.0000, 0.5000, 0.5000)  4 Pm 2.85, 8 Rh 2.85
Rh (0.5000, 0.0000, 0.5000)  4 Pm 2.85, 8 Rh 2.85
Rh (0.5000, 0.5000, 0.0000)  4 Pm 2.85, 8 Rh 2.85



## PmYRh2 (PBEsol)

Data for crystalline PmYRh2 at its relaxed geometry.

Total DFT energy (no corrections)   -7.764 eV/atom
Crystal system   cubic
Space-group type   No. 225
Energy of formation from the pure elements   -0.705 eV per atom
Magnetization   0.0 μB per formula unit

Lattice parameters (Å, degrees): 4.8381 4.8381 4.8381 60.00 60.00 60.00
With the nearest neighbours (Å) after each atom.
Fractional coordinates of all 4 atoms:
Pm (0.0000, 0.0000, 0.0000)  8 Rh 2.96
Y (0.5000, 0.5000, 0.5000)  8 Rh 2.96
Rh (0.2500, 0.2500, 0.2500)  4 Y 2.96, 4 Pm 2.96
Rh (0.7500, 0.7500, 0.7500)  4 Y 2.96, 4 Pm 2.96



## Pm2ZnRh (PBEsol)

Data for crystalline Pm2ZnRh at its relaxed geometry.

Total DFT energy (no corrections)   -5.454 eV/atom
Crystal system   cubic
Space-group type   No. 225
Energy of formation from the pure elements   -0.456 eV per atom
Magnetization   0.0 μB per formula unit

Lattice parameters (Å, degrees): 4.9789 4.9789 4.9789 60.00 60.00 60.00
With the nearest neighbours (Å) after each atom.
Fractional coordinates of all 4 atoms:
Pm (0.2500, 0.2500, 0.2500)  4 Rh 3.05, 4 Zn 3.05
Pm (0.7500, 0.7500, 0.7500)  4 Rh 3.05, 4 Zn 3.05
Zn (0.0000, 0.0000, 0.0000)  8 Pm 3.05
Rh (0.5000, 0.5000, 0.5000)  8 Pm 3.05



## PmZnRh2 (PBEsol)

Data for crystalline PmZnRh2 at its relaxed geometry.

Total DFT energy (no corrections)   -6.221 eV/atom
Crystal system   cubic
Space-group type   No. 225
Energy of formation from the pure elements   -0.472 eV per atom
Magnetization   0.0 μB per formula unit

Lattice parameters (Å, degrees): 4.5473 4.5473 4.5473 60.00 60.00 60.00
With the nearest neighbours (Å) after each atom.
Fractional coordinates of all 4 atoms:
Pm (0.0000, 0.0000, 0.0000)  8 Rh 2.78
Zn (0.5000, 0.5000, 0.5000)  8 Rh 2.78
Rh (0.2500, 0.2500, 0.2500)  4 Pm 2.78, 4 Zn 2.78
Rh (0.7500, 0.7500, 0.7500)  4 Pm 2.78, 4 Zn 2.78



Question: What is the total DFT energy (no corrections) in the seventh record?
Answer: -5.454 eV/atom